The following is a SCAN calculation of Sr2MnNbO6 at its PBEsol-relaxed geometry, from the Alexandria database.

Cell lengths 5.512, 5.512, 7.803 Å; angles 90.00, 90.00, 90.00 degrees
Space group I4/m (No. 87)
Inequivalent atoms, fractional coordinates:
Sr1 0.000 0.500 0.250
Mn1 0.000 0.000 0.000
Nb1 0.000 0.000 0.500
O1 0.000 0.000 0.244
O2 0.233 0.254 0.000

Summary:
formation energy from raw total energies	-2919	meV per atom



The following is a SCAN calculation of Sr2MnNbO6 at its PBEsol-relaxed geometry, from the Alexandria database.

Cell lengths 5.516, 5.516, 7.791 Å; angles 90.00, 90.00, 90.00 degrees
Space group I4/mmm (No. 139)
Inequivalent atoms, fractional coordinates:
Sr1 0.000 0.500 0.250
Mn1 0.000 0.000 0.000
Nb1 0.000 0.000 0.500
O1 0.000 0.000 0.244
O2 0.244 0.244 0.000

Summary:
formation energy from raw total energies	-2919	meV per atom



The following is a SCAN calculation of Mn2Nb2Zn2O9 at its PBEsol-relaxed geometry, from the Alexandria database.

Cell lengths 5.2214, 5.2214, 14.2340 Å; angles 90.00, 90.00, 120.00 degrees
Space group P-3c1 (No. 165)
Inequivalent atoms, fractional coordinates:
Mn1 0.3333 0.6667 0.0149
Nb1 0.0000 0.0000 0.1405
Zn1 0.3333 0.6667 0.2969
O1 0.0000 0.2879 0.2500
O2 0.0241 0.3444 0.9163

Summary:
formation energy from raw total energies	-2267	meV per atom



The following is a SCAN calculation of MnNbP2 at its PBEsol-relaxed geometry, from the Alexandria database.

Cell lengths 5.506, 5.506, 9.838 Å; angles 90.00, 90.00, 90.00 degrees
Space group I-42d (No. 122)
Inequivalent atoms, fractional coordinates:
Mn1 0.000 0.000 0.000
Nb1 0.000 0.000 0.500
P1 0.218 0.250 0.125

Summary:
ΔE_f	-0.66	eV per formula unit



The following is a SCAN calculation of MnNbP at its PBEsol-relaxed geometry, from the Alexandria database.

Cell lengths 6.098, 3.579, 7.051 Å; angles 90.00, 90.00, 90.00 degrees
Space group Pnma (No. 62)
Inequivalent atoms, fractional coordinates:
Mn1 0.142 0.250 0.058
Nb1 0.026 0.250 0.675
P1 0.225 0.750 0.875

Summary:
ΔE_f	-2.54	eV per formula unit



The following is a SCAN calculation of Mn2NbP12 at its PBEsol-relaxed geometry, from the Alexandria database.

Cell lengths 15.919, 5.731, 10.567 Å; angles 90.00, 115.55, 90.00 degrees
Space group C2/c (No. 15)
Inequivalent atoms, fractional coordinates:
Mn1 0.182 0.190 0.045
Nb1 0.000 0.303 0.250
P1 0.034 0.048 0.927
P2 0.062 0.356 0.665
P3 0.117 0.451 0.503
P4 0.156 0.178 0.240
P5 0.178 0.172 0.835
P6 0.226 0.176 0.574

Summary:
ΔE_f	-6.33	eV per formula unit



The following is a SCAN calculation of MnNbPS2 at its PBEsol-relaxed geometry, from the Alexandria database.

Cell lengths 4.687, 4.687, 4.920 Å; angles 90.00, 90.00, 90.00 degrees
Space group P4/mmm (No. 123)
Inequivalent atoms, fractional coordinates:
Mn1 0.000 0.000 0.000
Nb1 0.500 0.500 0.500
P1 0.500 0.500 0.000
S1 0.000 0.500 0.500

Summary:
formation energy from raw total energies	-67	meV per atom
relative energy among the computed polymorphs	0.0000	eV/atom



The following is a SCAN calculation of MnNbPS2 at its PBEsol-relaxed geometry, from the Alexandria database.

Cell lengths 4.337, 4.337, 4.395 Å; angles 90.00, 90.00, 90.00 degrees
Space group P4/mmm (No. 123)
Inequivalent atoms, fractional coordinates:
Mn1 0.000 0.000 0.000
Nb1 0.500 0.500 0.500
P1 0.000 0.000 0.500
S1 0.000 0.500 0.000

Summary:
formation energy from raw total energies	259	meV per atom
relative energy among the computed polymorphs	0.3255	eV/atom



The following is a SCAN calculation of MnNb3Pb at its PBEsol-relaxed geometry, from the Alexandria database.

Cell lengths 4.604, 4.604, 4.604 Å; angles 90.00, 90.00, 90.00 degrees
Space group Pm-3m (No. 221)
Inequivalent atoms, fractional coordinates:
Mn1 0.000 0.000 0.000
Nb1 0.000 0.000 0.500
Pb1 0.500 0.500 0.500

Summary:
ΔE_f	2.59	eV per formula unit



The following is a SCAN calculation of Mn2NbZnPd at its PBEsol-relaxed geometry, from the Alexandria database.

Cell lengths 4.415, 4.415, 4.437 Å; angles 90.00, 90.00, 90.00 degrees
Space group P4/mmm (No. 123)
Inequivalent atoms, fractional coordinates:
Mn1 0.000 0.500 0.000
Nb1 0.000 0.000 0.500
Zn1 0.500 0.500 0.000
Pd1 0.500 0.500 0.500

Summary:
ΔE_f	3.16	eV per formula unit



The following is a SCAN calculation of Mn2NbPt at its PBEsol-relaxed geometry, from the Alexandria database.

Cell lengths 6.075, 6.075, 6.075 Å; angles 90.00, 90.00, 90.00 degrees
Space group Fm-3m (No. 225)
Inequivalent atoms, fractional coordinates:
Mn1 0.250 0.250 0.250
Nb1 0.000 0.000 0.000
Pt1 0.000 0.000 0.500

Summary:
ΔE_f	-2.27	eV per formula unit



The following is a SCAN calculation of ZrMnNbRe2 at its PBEsol-relaxed geometry, from the Alexandria database.

Cell lengths 4.428, 4.428, 4.505 Å; angles 90.00, 90.00, 90.00 degrees
Space group P4/mmm (No. 123)
Inequivalent atoms, fractional coordinates:
Zr1 0.000 0.000 0.000
Mn1 0.000 0.000 0.500
Nb1 0.500 0.500 0.000
Re1 0.000 0.500 0.500

Summary:
ΔE_f	4.52	eV per formula unit



Copy entry 9 word for word.
The following is a SCAN calculation of MnNb3Pb at its PBEsol-relaxed geometry, from the Alexandria database.

Cell lengths 4.604, 4.604, 4.604 Å; angles 90.00, 90.00, 90.00 degrees
Space group Pm-3m (No. 221)
Inequivalent atoms, fractional coordinates:
Mn1 0.000 0.000 0.000
Nb1 0.000 0.000 0.500
Pb1 0.500 0.500 0.500

Summary:
ΔE_f	2.59	eV per formula unit